No. 1
! K3Pu3BeSe8 GGA-PBE relaxed; values from VASP
&SYSTEM
  ibrav = 0, nat = 15, ntyp = 4
/
ATOMIC_SPECIES
K 39.10 K.upf
Pu 244.00 Pu.upf
Be 9.01 Be.upf
Se 78.96 Se.upf
ATOMIC_POSITIONS crystal
K 0.0000 0.0000 0.0000
K 0.0000 0.5000 0.0000
K 0.5000 0.0000 0.0000
Pu 0.0000 0.5000 0.5000
Pu 0.5000 0.0000 0.5000
Pu 0.5000 0.5000 0.5000
Be 0.0000 0.0000 0.5000
Se 0.1969 0.7686 0.6703
Se 0.2314 0.8031 0.3297
Se 0.2650 0.2650 0.2932
Se 0.2666 0.2666 0.7209
Se 0.7334 0.7334 0.2791
Se 0.7350 0.7350 0.7068
Se 0.7686 0.1969 0.6703
Se 0.8031 0.2314 0.3297
CELL_PARAMETERS angstrom
7.2662 -4.0858 0.0000
7.2662 4.0858 0.0000
-4.9374 0.0000 7.7155
! ρ	5.401	g/cm³
! symmetry	C2/m (12)
! energy	-95.38	eV for the cell shown
! raw formation energy	-1166	meV/atom

***

No. 2
! CeGdMgAu GGA-PBE relaxed; values from VASP
&SYSTEM
  ibrav = 0, nat = 16, ntyp = 4
/
ATOMIC_SPECIES
Ce 140.12 Ce.upf
Gd 157.25 Gd.upf
Mg 24.30 Mg.upf
Au 196.97 Au.upf
ATOMIC_POSITIONS crystal
Ce 0.0000 0.0000 0.0000
Ce 0.0000 0.5000 0.5000
Ce 0.5000 0.0000 0.5000
Ce 0.5000 0.5000 0.0000
Gd 0.0000 0.0000 0.5000
Gd 0.0000 0.5000 0.0000
Gd 0.5000 0.0000 0.0000
Gd 0.5000 0.5000 0.5000
Mg 0.2500 0.2500 0.7500
Mg 0.2500 0.7500 0.2500
Mg 0.7500 0.2500 0.2500
Mg 0.7500 0.7500 0.7500
Au 0.2500 0.2500 0.2500
Au 0.2500 0.7500 0.7500
Au 0.7500 0.2500 0.7500
Au 0.7500 0.7500 0.2500
CELL_PARAMETERS angstrom
7.4661 0.0000 0.0000
0.0000 7.4661 0.0000
0.0000 0.0000 7.4661
! ρ	8.277	g/cm³
! symmetry	F-43m (216)
! energy	-104.10	eV for the cell shown
! energy of formation	-285	meV/atom

***

No. 3
! Ba2TcBr GGA-PBE relaxed; values from VASP
&SYSTEM
  ibrav = 0, nat = 4, ntyp = 3
/
ATOMIC_SPECIES
Ba 137.33 Ba.upf
Tc 98.00 Tc.upf
Br 79.90 Br.upf
ATOMIC_POSITIONS crystal
Ba 0.0000 0.0000 0.0000
Ba 0.5000 0.5000 0.4989
Tc 0.0000 0.0000 0.4987
Br 0.5000 0.5000 0.9990
CELL_PARAMETERS angstrom
4.7289 0.0000 0.0000
0.0000 4.7289 0.0000
0.0000 0.0000 6.4788
! ρ	5.187	g/cm³
! symmetry	P4mm (99)
! energy	-16.14	eV for the cell shown
! raw formation energy	-65	meV/atom
! energy above the most stable polymorph in this dataset	57	meV per atom

***

No. 4
! AlZn3Au3 GGA-PBE relaxed; values from VASP
&SYSTEM
  ibrav = 0, nat = 28, ntyp = 3
/
ATOMIC_SPECIES
Al 26.98 Al.upf
Zn 65.41 Zn.upf
Au 196.97 Au.upf
ATOMIC_POSITIONS crystal
Al 0.1187 0.3813 0.6187
Al 0.3813 0.6187 0.1187
Al 0.6187 0.1187 0.3813
Al 0.8813 0.8813 0.8813
Zn 0.0597 0.5597 0.9403
Zn 0.1429 0.8571 0.3571
Zn 0.1969 0.1969 0.1969
Zn 0.3031 0.8031 0.6969
Zn 0.3571 0.1429 0.8571
Zn 0.4403 0.4403 0.4403
Zn 0.5597 0.9403 0.0597
Zn 0.6429 0.6429 0.6429
Zn 0.6969 0.3031 0.8031
Zn 0.8031 0.6969 0.3031
Zn 0.8571 0.3571 0.1429
Zn 0.9403 0.0597 0.5597
Au 0.0159 0.2026 0.8821
Au 0.1179 0.5159 0.2974
Au 0.2026 0.8821 0.0159
Au 0.2974 0.1179 0.5159
Au 0.3821 0.4841 0.7974
Au 0.4841 0.7974 0.3821
Au 0.5159 0.2974 0.1179
Au 0.6179 0.9841 0.7026
Au 0.7026 0.6179 0.9841
Au 0.7974 0.3821 0.4841
Au 0.8821 0.0159 0.2026
Au 0.9841 0.7026 0.6179
CELL_PARAMETERS angstrom
7.8170 0.0000 0.0000
0.0000 7.8170 0.0000
0.0000 0.0000 7.8170
! ρ	11.321	g/cm³
! symmetry	P2_13 (198)
! energy	-74.84	eV for the cell shown
! energy of formation	-188	meV/atom

***

No. 5
! Na3P5S12 GGA-PBE relaxed; values from VASP
&SYSTEM
  ibrav = 0, nat = 80, ntyp = 3
/
ATOMIC_SPECIES
Na 22.99 Na.upf
P 30.97 P.upf
S 32.06 S.upf
ATOMIC_POSITIONS crystal
Na 0.1250 0.2500 0.3750
Na 0.1250 0.3750 0.7500
Na 0.2500 0.3750 0.1250
Na 0.2500 0.8750 0.6250
Na 0.3750 0.1250 0.2500
Na 0.3750 0.7500 0.1250
Na 0.6250 0.2500 0.8750
Na 0.6250 0.8750 0.7500
Na 0.7500 0.1250 0.3750
Na 0.7500 0.6250 0.8750
Na 0.8750 0.6250 0.2500
Na 0.8750 0.7500 0.6250
P 0.0000 0.0000 0.0000
P 0.0000 0.0000 0.5000
P 0.0000 0.5000 0.0000
P 0.0000 0.5000 0.5000
P 0.1250 0.7500 0.8750
P 0.1250 0.8750 0.2500
P 0.2500 0.1250 0.8750
P 0.2500 0.6250 0.3750
P 0.3750 0.2500 0.6250
P 0.3750 0.6250 0.7500
P 0.5000 0.0000 0.0000
P 0.5000 0.0000 0.5000
P 0.5000 0.5000 0.0000
P 0.5000 0.5000 0.5000
P 0.6250 0.3750 0.2500
P 0.6250 0.7500 0.3750
P 0.7500 0.3750 0.6250
P 0.7500 0.8750 0.1250
P 0.8750 0.1250 0.7500
P 0.8750 0.2500 0.1250
S 0.0152 0.2053 0.1166
S 0.0152 0.3099 0.8986
S 0.0887 0.7053 0.6901
S 0.0887 0.8834 0.3986
S 0.1014 0.6166 0.4113
S 0.1014 0.9848 0.6901
S 0.1166 0.0152 0.2053
S 0.1166 0.6014 0.9113
S 0.1901 0.2053 0.5887
S 0.1901 0.4848 0.6014
S 0.2053 0.1166 0.0152
S 0.2053 0.5887 0.1901
S 0.2947 0.3099 0.9113
S 0.2947 0.4848 0.3834
S 0.3099 0.8986 0.0152
S 0.3099 0.9113 0.2947
S 0.3834 0.2947 0.4848
S 0.3834 0.5887 0.8986
S 0.3986 0.0887 0.8834
S 0.3986 0.8099 0.5152
S 0.4113 0.1014 0.6166
S 0.4113 0.8099 0.7947
S 0.4848 0.3834 0.2947
S 0.4848 0.6014 0.1901
S 0.5152 0.3986 0.8099
S 0.5152 0.6166 0.7053
S 0.5887 0.1901 0.2053
S 0.5887 0.8986 0.3834
S 0.6014 0.1901 0.4848
S 0.6014 0.9113 0.1166
S 0.6166 0.4113 0.1014
S 0.6166 0.7053 0.5152
S 0.6901 0.0887 0.7053
S 0.6901 0.1014 0.9848
S 0.7053 0.5152 0.6166
S 0.7053 0.6901 0.0887
S 0.7947 0.4113 0.8099
S 0.7947 0.8834 0.9848
S 0.8099 0.5152 0.3986
S 0.8099 0.7947 0.4113
S 0.8834 0.3986 0.0887
S 0.8834 0.9848 0.7947
S 0.8986 0.0152 0.3099
S 0.8986 0.3834 0.5887
S 0.9113 0.1166 0.6014
S 0.9113 0.2947 0.3099
S 0.9848 0.6901 0.1014
S 0.9848 0.7947 0.8834
CELL_PARAMETERS angstrom
-7.4359 7.4359 7.4359
7.4359 -7.4359 7.4359
7.4359 7.4359 -7.4359
! ρ	2.458	g/cm³
! symmetry	Ia-3d (230)
! energy	-343.72	eV for the cell shown
! raw formation energy	-270	meV/atom

***

No. 6
! BaMgIn2Co GGA-PBE relaxed; values from VASP
&SYSTEM
  ibrav = 0, nat = 5, ntyp = 4
/
ATOMIC_SPECIES
Ba 137.33 Ba.upf
Mg 24.30 Mg.upf
In 114.82 In.upf
Co 58.93 Co.upf
ATOMIC_POSITIONS crystal
Ba 0.0000 0.0000 0.0000
Mg 0.5000 0.5000 0.0000
In 0.0000 0.5000 0.5000
In 0.5000 0.0000 0.5000
Co 0.5000 0.5000 0.5000
CELL_PARAMETERS angstrom
5.0639 0.0000 0.0000
0.0000 5.0639 0.0000
0.0000 0.0000 5.0577
! ρ	5.764	g/cm³
! symmetry	P4/mmm (123)
! energy	-17.07	eV for the cell shown
! energy of formation	-193	meV/atom

***

No. 7
! MgCd2Mo GGA-PBE relaxed; values from VASP
&SYSTEM
  ibrav = 0, nat = 8, ntyp = 3
/
ATOMIC_SPECIES
Mg 24.30 Mg.upf
Cd 112.41 Cd.upf
Mo 95.94 Mo.upf
ATOMIC_POSITIONS crystal
Mg 0.0000 0.0000 0.0000
Mg 0.5000 0.5000 0.0000
Cd 0.0032 0.5000 0.5329
Cd 0.2521 0.5000 0.2562
Cd 0.5032 0.0000 0.5329
Cd 0.7521 0.0000 0.2562
Mo 0.2540 0.0000 0.7618
Mo 0.7540 0.5000 0.7618
CELL_PARAMETERS angstrom
10.1291 0.0000 0.0000
0.0000 2.9337 0.0000
-1.1242 0.0000 5.1462
! ρ	7.494	g/cm³
! symmetry	Cm (8)
! energy	-25.98	eV for the cell shown
! energy of formation	316	meV/atom

***

No. 8
! Ac2NpCuPt6 GGA-PBE relaxed; values from VASP
&SYSTEM
  ibrav = 0, nat = 10, ntyp = 4
/
ATOMIC_SPECIES
Ac 227.00 Ac.upf
Np 237.00 Np.upf
Cu 63.55 Cu.upf
Pt 195.08 Pt.upf
ATOMIC_POSITIONS crystal
Ac 0.2500 0.2500 0.2500
Ac 0.7500 0.7500 0.7500
Np 0.0000 0.0000 0.0000
Cu 0.5000 0.5000 0.5000
Pt 0.2577 0.2577 0.7423
Pt 0.2577 0.7423 0.2577
Pt 0.2577 0.7423 0.7423
Pt 0.7423 0.2577 0.2577
Pt 0.7423 0.2577 0.7423
Pt 0.7423 0.7423 0.2577
CELL_PARAMETERS angstrom
0.0000 4.9379 4.9379
4.9379 0.0000 4.9379
4.9379 4.9379 0.0000
! ρ	13.275	g/cm³
! symmetry	Fm-3m (225)
! energy	-65.18	eV for the cell shown
! energy of formation	-368	meV/atom

***

What is the ρ in the first record? 5.401 g/cm³

***

ρ of number 6 (BaMgIn2Co)? 5.764 g/cm³

***

Look up the energy of the eighth one. -65.18 eV for the cell shown